No. 1
Density functional theory data (PBE) for a relaxed structure of BiSbTe2N.

The structure in POSCAR format:
```
BiSbTe2N
1.0
4.878 0.000 0.000
0.000 4.878 0.000
0.000 0.000 4.955
Bi Sb Te N
1 1 2 1
Direct
0.000 0.000 0.000
0.500 0.500 0.000
0.000 0.500 0.500
0.500 0.000 0.500
0.500 0.500 0.500
```

Total DFT energy (no corrections) in eV per cell: -19.8

=====

No. 2
Density functional theory data (PBE) for a relaxed structure of AcPr4S7.

The structure in POSCAR format:
```
AcPr4S7
1.0
6.866 -2.013 0.000
6.866 2.013 0.000
-3.124 0.000 11.722
Ac Pr S
1 4 7
Direct
0.000 0.000 0.000
0.112 0.112 0.422
0.223 0.223 0.833
0.411 0.411 0.606
0.812 0.812 0.236
0.065 0.065 0.633
0.159 0.159 0.210
0.364 0.364 0.068
0.454 0.454 0.370
0.616 0.616 0.914
0.770 0.770 0.470
0.849 0.849 0.765
```

Total DFT energy (no corrections) in eV per cell: -76.6

=====

No. 3
Density functional theory data (PBE) for a relaxed structure of LaTb4Dy.

The structure in POSCAR format:
```
LaTb4Dy
1.0
4.451 -7.450 0.000
4.451 7.450 0.000
-2.177 0.000 6.090
La Tb Dy
2 8 2
Direct
0.083 0.917 0.750
0.917 0.083 0.250
0.075 0.338 0.880
0.213 0.604 0.465
0.338 0.075 0.380
0.396 0.787 0.035
0.604 0.213 0.965
0.662 0.925 0.620
0.787 0.396 0.535
0.925 0.662 0.120
0.499 0.501 0.750
0.501 0.499 0.250
```

Energy relative to the elements in kcal/mol of atoms: 3.19

=====

No. 4
Density functional theory data (PBE) for a relaxed structure of CaSbSe.

The structure in POSCAR format:
```
CaSbSe
1.0
7.120 0.000 0.000
0.000 7.120 0.000
0.000 0.000 7.120
Ca Sb Se
4 4 4
Direct
0.000 0.000 0.000
0.000 0.500 0.500
0.500 0.000 0.500
0.500 0.500 0.000
0.000 0.000 0.500
0.000 0.500 0.000
0.500 0.000 0.000
0.500 0.500 0.500
0.250 0.250 0.750
0.250 0.750 0.250
0.750 0.250 0.250
0.750 0.750 0.750
```

Total DFT energy (no corrections) in eV per cell: -44.3

=====

No. 5
Density functional theory data (PBE) for a relaxed structure of AcGa6Cu.

The structure in POSCAR format:
```
AcGa6Cu
1.0
4.500 0.000 0.000
0.000 4.500 0.000
0.000 0.000 7.823
Ac Ga Cu
1 6 1
Direct
0.000 0.000 0.000
0.000 0.500 0.334
0.000 0.500 0.666
0.500 0.000 0.334
0.500 0.000 0.666
0.500 0.500 0.160
0.500 0.500 0.840
0.000 0.000 0.500
```

Energy relative to the elements in kcal/mol of atoms: -8.65

=====

No. 6
Density functional theory data (PBE) for a relaxed structure of PaBiTeN.

The structure in POSCAR format:
```
PaBiTeN
1.0
4.100 0.000 0.000
0.000 4.100 0.000
0.000 0.000 13.355
Pa Bi Te N
2 2 2 2
Direct
0.250 0.250 0.083
0.750 0.750 0.917
0.250 0.750 0.500
0.750 0.250 0.500
0.250 0.250 0.791
0.750 0.750 0.209
0.250 0.750 0.000
0.750 0.250 0.000
```

Total DFT energy (no corrections) in eV per cell: -57.0

=====

No. 7
Density functional theory data (PBE) for a relaxed structure of CeEu2Ag.

The structure in POSCAR format:
```
CeEu2Ag
1.0
3.506 0.000 0.000
-1.753 3.036 0.000
0.000 0.000 35.505
Ce Eu Ag
3 6 3
Direct
0.000 0.000 0.000
0.333 0.667 0.667
0.667 0.333 0.333
0.000 0.000 0.096
0.000 0.000 0.904
0.333 0.667 0.570
0.333 0.667 0.763
0.667 0.333 0.237
0.667 0.333 0.430
0.000 0.000 0.500
0.333 0.667 0.167
0.667 0.333 0.833
```

Energy relative to the elements in kcal/mol of atoms: 5.04

=====

No. 8
Density functional theory data (PBE) for a relaxed structure of PmTlCdIn.

The structure in POSCAR format:
```
PmTlCdIn
1.0
7.545 0.000 0.000
0.000 7.545 0.000
0.000 0.000 7.545
Pm Tl Cd In
4 4 4 4
Direct
0.000 0.000 0.000
0.000 0.500 0.500
0.500 0.000 0.500
0.500 0.500 0.000
0.250 0.250 0.750
0.250 0.750 0.250
0.750 0.250 0.250
0.750 0.750 0.750
0.250 0.250 0.250
0.250 0.750 0.750
0.750 0.250 0.750
0.750 0.750 0.250
0.000 0.000 0.500
0.000 0.500 0.000
0.500 0.000 0.000
0.500 0.500 0.500
```

Energy relative to the elements in kcal/mol of atoms: -4.04